This record from Alexandria via LeMat-Bulk describes a relaxed MnMoRhO6 crystal. The functional is PBE with a Hubbard U.

Lattice parameters (Å, degrees): 4.607 4.607 9.425 90.00 90.00 90.00
Element x y z (fractional)
O: 0.696 0.696 0.001
O: 0.197 0.803 0.829
O: 0.803 0.197 0.829
O: 0.804 0.196 0.501
O: 0.801 0.199 0.169
O: 0.199 0.801 0.169
O: 0.196 0.804 0.501
O: 0.303 0.303 0.329
O: 0.301 0.301 0.669
O: 0.699 0.699 0.669
O: 0.304 0.304 0.001
O: 0.697 0.697 0.329
Mn: 0.000 0.000 0.999
Mn: 0.500 0.500 0.499
Mo: 0.000 0.000 0.667
Mo: 0.500 0.500 0.167
Rh: 0.000 0.000 0.334
Rh: 0.500 0.500 0.834

Output
The value obtained for the raw total energy is -7.0444 eV/atom. For the total magnetic moment, the calculation gives 8.0 μB/cell.